## CdRh3N (PBE)

Data for crystalline CdRh3N at its relaxed geometry.

abc: 5.522 5.664 4.653
angles: 90.00 85.81 90.00
Positions (direct):
1 Rh 0.343 0.490 0.242
2 Rh 0.133 0.250 0.741
3 Rh 0.657 0.990 0.758
4 Rh 0.867 0.750 0.259
5 Cd 0.147 0.750 0.736
6 Rh 0.657 0.510 0.758
7 N 0.568 0.750 0.089
8 N 0.432 0.250 0.911
9 Rh 0.343 0.010 0.242
10 Cd 0.853 0.250 0.264

Calculated total energy: -6.067 eV per atom
Raw formation energy: 0.192 eV per atom
Crystal system: monoclinic
Symmetry: No. 11